A geometry-optimized Cd2InCo structure, computed with PBEsol.

Cell lengths 2.894, 4.868, 5.143 Å; angles 90.00, 90.00, 90.95 degrees
Last column: magnetic moment on the atom in μB.
Element x y z (fractional)
Cd1 0.245 0.259 0.000  -0.01
Cd2 0.755 0.741 0.000  -0.01
Co1 0.000 0.500 0.500  1.23
In1 0.500 0.000 0.500  -0.03


A geometry-optimized CdCoIr2 structure, computed with PBEsol.

Cell lengths 2.736, 2.736, 8.956 Å; angles 81.21, 81.21, 60.00 degrees
Last column: magnetic moment on the atom in μB.
Element x y z (fractional)
Ir1 0.258 0.258 0.225  0.27
Ir2 0.742 0.742 0.775  0.27
Co1 0.000 0.000 0.000  1.65
Cd1 0.500 0.500 0.500  -0.01


A geometry-optimized Cd2CoIr structure, computed with PBEsol.

Cell lengths 4.044, 4.044, 4.753 Å; angles 115.18, 115.18, 90.00 degrees
Last column: magnetic moment on the atom in μB.
Element x y z (fractional)
Ir1 0.250 0.750 0.500  0.38
Co1 0.500 0.500 0.000  1.66
Cd1 0.000 0.000 0.000  -0.01
Cd2 0.750 0.250 0.500  -0.02

Computed properties:
Energy above the lowest structure with this stoichiometry in meV/atom: 100


A geometry-optimized Cd2CoIr structure, computed with PBEsol.

Cell lengths 2.807, 2.807, 9.381 Å; angles 81.39, 81.39, 60.00 degrees
Last column: magnetic moment on the atom in μB.
Element x y z (fractional)
Ir1 0.241 0.241 0.276  0.38
Co1 0.506 0.506 0.483  1.63
Cd1 0.994 0.994 0.018  -0.01
Cd2 0.759 0.759 0.723  -0.02

Computed properties:
Energy above the lowest structure with this stoichiometry in meV/atom: 0


no.,calculated formation energy (eV/atom)
1,0.3010
2,0.1593
3,0.3258
4,0.2253